This record from OQMD via LeMat-Bulk describes a relaxed structure of SrTbCuSi3. The functional is PBE.

Structure (POSCAR):
```
SrTbCuSi3
1.0
0.000 4.274 7.097
4.039 0.000 7.097
4.039 4.274 0.000
Sr Tb Cu Si
2 2 2 6
direct
0.250 0.250 0.250
0.750 0.750 0.750
0.241 0.759 0.241
0.759 0.241 0.759
0.334 0.334 0.666
0.666 0.666 0.334
0.164 0.164 0.836
0.174 0.662 0.826
0.338 0.826 0.662
0.662 0.174 0.338
0.826 0.338 0.174
0.836 0.836 0.164
```

Polymorph energy (0 for the lowest one) = 0.0 kJ per mole of atoms